{"formula": "SrLiPbO3", "functional": "GGA-PBE", "state": "optimized geometry", "cell": [[7.258, 0.000, 0.000], [0.000, 3.493, 0.000], [-1.340, 0.000, 7.207]], "species": ["Sr", "Sr", "Li", "Li", "Pb", "Pb", "O", "O", "O", "O", "O", "O"], "fractional_positions": [[0.217, 0.250, 0.177], [0.783, 0.750, 0.823], [0.412, 0.750, 0.912], [0.588, 0.250, 0.088], [0.185, 0.250, 0.663], [0.815, 0.750, 0.337], [0.143, 0.750, 0.884], [0.144, 0.750, 0.418], [0.500, 0.250, 0.824], [0.500, 0.750, 0.176], [0.856, 0.250, 0.582], [0.857, 0.250, 0.116]], "density_g_cm3": 6.36, "magnetic_moment_mub_per_fu": 0.000, "e_form_raw_kj_per_mol_fu": -994.8, "volume_a3_per_fu": 91.4}



{"formula": "Sr2Li2PbO4", "functional": "GGA-PBE", "state": "optimized geometry", "cell": [[6.543, -1.709, 0.000], [6.543, 1.709, 0.000], [-1.999, 0.000, 5.854]], "species": ["Sr", "Sr", "Li", "Li", "Pb", "O", "O", "O", "O"], "fractional_positions": [[0.135, 0.135, 0.061], [0.865, 0.865, 0.939], [0.318, 0.318, 0.494], [0.682, 0.682, 0.506], [0.000, 0.000, 0.500], [0.220, 0.220, 0.710], [0.459, 0.459, 0.759], [0.541, 0.541, 0.241], [0.780, 0.780, 0.290]], "density_g_cm3": 5.84, "magnetic_moment_mub_per_fu": 0.000, "e_form_raw_kj_per_mol_fu": -1639.8, "volume_a3_per_fu": 131.0}